No. 1
A geometry-optimized ScCoSe2 structure. Source: Alexandria via LeMat-Bulk, functional PBE-GGA.

a b c (Å): 7.9071 7.9071 7.9071
angles (deg): 28.65 28.65 28.65
Atoms (fractional coordinates):
Sc (0.5000, 0.5000, 0.5000)
Co (0.0000, 0.0000, 0.0000)
Se (0.8990, 0.8990, 0.8990)
Se (0.1010, 0.1010, 0.1010)

For the excess energy over the best structure of this formula in the dataset, the calculation gives 87 kJ/mol of formula units. Its space group is R-3m. Its spin magnetization is 2.0 μB per cell. As for the uncorrected energy: -22.935 eV/cell.


No. 2
A geometry-optimized BaZr4Si structure. Source: Alexandria via LeMat-Bulk, functional PBE-GGA.

a b c (Å): 5.9825 5.9825 5.9825
angles (deg): 60.00 60.00 60.00
Atoms (fractional coordinates):
Ba (0.7500, 0.7500, 0.7500)
Zr (0.8722, 0.3759, 0.3759)
Zr (0.3759, 0.3759, 0.8722)
Zr (0.3759, 0.8722, 0.3759)
Zr (0.3759, 0.3759, 0.3759)
Si (0.0000, 0.0000, 0.0000)

Its space group is F-43m. Its spin magnetization is 0.0 μB per cell. As for the uncorrected energy: -37.960 eV/cell.


No. 3
A geometry-optimized DyZrGa4 structure. Source: Alexandria via LeMat-Bulk, functional PBE-GGA.

a b c (Å): 5.3923 5.3923 5.3923
angles (deg): 60.00 60.00 60.00
Atoms (fractional coordinates):
Ga (0.6252, 0.6252, 0.1243)
Ga (0.6252, 0.1243, 0.6252)
Ga (0.6252, 0.6252, 0.6252)
Ga (0.1243, 0.6252, 0.6252)
Zr (0.0000, 0.0000, 0.0000)
Dy (0.2500, 0.2500, 0.2500)

For the excess energy over the best structure of this formula in the dataset, the calculation gives 24 kJ/mol of formula units. Its energy of formation is -48.3 kJ/mol of atoms. Its space group is F-43m. Its spin magnetization is 0.0 μB per cell. As for the uncorrected energy: -28.263 eV/cell.


No. 4
A geometry-optimized SmTm2Ga structure. Source: Alexandria via LeMat-Bulk, functional PBE-GGA.

a b c (Å): 3.4998 3.4998 8.8416
angles (deg): 90.00 90.00 90.00
Atoms (fractional coordinates):
Tm (0.0000, 0.0000, 0.7937)
Tm (0.0000, 0.0000, 0.2063)
Ga (0.5000, 0.5000, 0.0000)
Sm (0.5000, 0.5000, 0.5000)

For the excess energy over the best structure of this formula in the dataset, the calculation gives 0 kJ/mol of formula units. Its energy of formation is -28.1 kJ/mol of atoms. Its space group is P4/mmm. Its spin magnetization is 0.0 μB per cell. As for the uncorrected energy: -17.855 eV/cell.


No. 5
A geometry-optimized Li3AgAs3 structure. Source: Alexandria via LeMat-Bulk, functional PBE-GGA.

a b c (Å): 4.2407 5.5262 12.3988
angles (deg): 83.84 80.15 67.44
Atoms (fractional coordinates):
Li (0.5181, 0.3261, 0.6377)
Li (0.4819, 0.6739, 0.3623)
Li (0.2712, 0.2481, 0.2096)
Li (0.7288, 0.7519, 0.7904)
Li (0.4075, 0.2676, 0.9173)
Li (0.5925, 0.7324, 0.0827)
Ag (0.7673, 0.0543, 0.4111)
Ag (0.2327, 0.9457, 0.5889)
As (0.8877, 0.6520, 0.5725)
As (0.1123, 0.3480, 0.4275)
As (0.1128, 0.8506, 0.9237)
As (0.8872, 0.1494, 0.0763)
As (0.9885, 0.7962, 0.2268)
As (0.0115, 0.2038, 0.7732)

Its energy of formation is -36.8 kJ/mol of atoms. Its space group is C2/m. Its spin magnetization is 0.0 μB per cell. As for the uncorrected energy: -50.417 eV/cell.


No. 6
A geometry-optimized CaTaSe2 structure. Source: Alexandria via LeMat-Bulk, functional PBE-GGA.

a b c (Å): 9.4161 9.4161 9.4161
angles (deg): 22.01 22.01 22.01
Atoms (fractional coordinates):
Ca (0.0000, 0.0000, 0.0000)
Se (0.8926, 0.8926, 0.8926)
Se (0.1074, 0.1074, 0.1074)
Ta (0.5000, 0.5000, 0.5000)

For the excess energy over the best structure of this formula in the dataset, the calculation gives 92 kJ/mol of formula units. Its space group is R-3m. Its spin magnetization is 0.0 μB per cell. As for the uncorrected energy: -23.351 eV/cell.


No. 7
A geometry-optimized SmThTcPt structure. Source: Alexandria via LeMat-Bulk, functional PBE-GGA.

a b c (Å): 5.0367 5.0367 5.0367
angles (deg): 60.00 60.00 60.00
Atoms (fractional coordinates):
Sm (0.0000, 0.0000, 0.0000)
Pt (0.7500, 0.7500, 0.7500)
Th (0.5000, 0.5000, 0.5000)
Tc (0.2500, 0.2500, 0.2500)

Its energy of formation is -46.8 kJ/mol of atoms. Its space group is F-43m. Its spin magnetization is 0.0 μB per cell. As for the uncorrected energy: -30.485 eV/cell.


No. 8
A geometry-optimized BaGa5Pt4 structure. Source: Alexandria via LeMat-Bulk, functional PBE-GGA.

a b c (Å): 5.8994 8.3328 8.3329
angles (deg): 90.00 90.00 90.00
Atoms (fractional coordinates):
Ba (0.0000, 0.0000, 0.0000)
Ba (0.0000, 0.5000, 0.5000)
Ga (0.7731, 0.2604, 0.2396)
Ga (0.7731, 0.2604, 0.7604)
Ga (0.7344, 0.0000, 0.5000)
Ga (0.7731, 0.7396, 0.2396)
Ga (0.7731, 0.7396, 0.7604)
Ga (0.2269, 0.7604, 0.2604)
Ga (0.2269, 0.7604, 0.7396)
Ga (0.2656, 0.5000, 0.0000)
Ga (0.2269, 0.2396, 0.7396)
Ga (0.2269, 0.2396, 0.2604)
Pt (0.4988, 0.2413, 0.0000)
Pt (0.5012, 0.0000, 0.2413)
Pt (0.5012, 0.0000, 0.7587)
Pt (0.4988, 0.7587, 0.0000)
Pt (0.5012, 0.7413, 0.5000)
Pt (0.4988, 0.5000, 0.2587)
Pt (0.4988, 0.5000, 0.7413)
Pt (0.5012, 0.2587, 0.5000)

Its energy of formation is -48.0 kJ/mol of atoms. Its space group is P4/nmm. Its spin magnetization is 0.0 μB per cell. As for the uncorrected energy: -92.393 eV/cell.


No. 9
A geometry-optimized LiIr3F structure. Source: Alexandria via LeMat-Bulk, functional PBE-GGA.

a b c (Å): 4.2643 4.2643 4.2643
angles (deg): 90.00 90.00 90.00
Atoms (fractional coordinates):
Ir (0.0000, 0.5000, 0.0000)
Ir (0.0000, 0.0000, 0.5000)
Ir (0.5000, 0.0000, 0.0000)
Li (0.5000, 0.5000, 0.5000)
F (0.0000, 0.0000, 0.0000)

For the excess energy over the best structure of this formula in the dataset, the calculation gives 0 kJ/mol of formula units. Its space group is Pm-3m. Its spin magnetization is 0.0 μB per cell. As for the uncorrected energy: -24.352 eV/cell.


No. 10
A geometry-optimized ZnSbW2 structure. Source: Alexandria via LeMat-Bulk, functional PBE-GGA.

a b c (Å): 4.3501 3.9646 3.9646
angles (deg): 90.00 90.00 90.00
Atoms (fractional coordinates):
Sb (0.5000, 0.0000, 0.5000)
W (0.0000, 0.0000, 0.0000)
W (0.0000, 0.5000, 0.5000)
Zn (0.5000, 0.5000, 0.0000)

For the excess energy over the best structure of this formula in the dataset, the calculation gives 155 kJ/mol of formula units. Its space group is P4/mmm. Its spin magnetization is 0.0 μB per cell. As for the uncorrected energy: -28.430 eV/cell.


No. 11
A geometry-optimized BeCrFe2 structure. Source: Alexandria via LeMat-Bulk, functional PBE-GGA.

a b c (Å): 6.0676 6.0676 4.9426
angles (deg): 52.14 52.14 90.00
Atoms (fractional coordinates):
Cr (0.0000, 0.0000, 0.0000)
Cr (0.7500, 0.2500, 0.5000)
Fe (0.6164, 0.1250, 0.2500)
Fe (0.1336, 0.6250, 0.2500)
Fe (0.3750, 0.3836, 0.7500)
Fe (0.8750, 0.8664, 0.7500)
Be (0.5000, 0.5000, 0.0000)
Be (0.2500, 0.7500, 0.5000)

Its energy of formation is 52.6 kJ/mol of atoms. Its space group is I-42d. Its spin magnetization is 1.8 μB per cell. As for the uncorrected energy: -56.188 eV/cell.


No. 12
A geometry-optimized Ba8CdPt2 structure. Source: Alexandria via LeMat-Bulk, functional PBE-GGA.

a b c (Å): 6.5866 10.4734 10.4709
angles (deg): 120.02 90.00 90.00
Atoms (fractional coordinates):
Ba (0.2447, 0.6666, 0.3332)
Ba (0.7553, 0.3334, 0.6667)
Ba (0.7440, 0.8309, 0.1670)
Ba (0.2560, 0.1671, 0.3361)
Ba (0.2560, 0.6639, 0.8309)
Ba (0.2560, 0.1691, 0.8330)
Ba (0.7440, 0.8329, 0.6638)
Ba (0.7440, 0.3361, 0.1691)
Cd (0.0000, 0.0000, 0.0000)
Pt (0.2532, 0.3333, 0.6667)
Pt (0.7468, 0.6667, 0.3332)

Its energy of formation is -21.3 kJ/mol of atoms. Its space group is P-3. Its spin magnetization is 0.0 μB per cell. As for the uncorrected energy: -30.810 eV/cell.


Q: What is the formula in the eleventh record?
A: BeCrFe2


Q: Which formula does entry 8 have?
A: BaGa5Pt4